Entry from Alexandria via LeMat-Bulk: CaTl2VF after structural relaxation (PBE with a Hubbard U).

Lattice parameters (Å, degrees): 5.173 5.173 5.906 90.00 90.00 90.00
Space group P4/mmm (No. 123)
Unique sites:
Ca (0.000, 0.000, 0.000) [1 per cell]
Tl (0.000, 0.500, 0.500) [2 per cell]
V (0.000, 0.000, 0.500) [1 per cell]
F (0.500, 0.500, 0.000) [1 per cell]

***

Entry from Alexandria via LeMat-Bulk: CaTl2VF6 after structural relaxation (PBE with a Hubbard U).

Lattice parameters (Å, degrees): 6.193 6.218 8.771 90.00 90.00 90.00
Space group Immm (No. 71)
Unique sites:
Ca (0.000, 0.000, 0.000) [2 per cell]
Tl (0.000, 0.500, 0.248) [4 per cell]
V (0.000, 0.000, 0.500) [2 per cell]
F (0.000, 0.000, 0.258) [4 per cell]
F (0.243, 0.242, 0.500) [8 per cell]

***

| no. | VASP energy (eV/cell) |
| --- | --- |
| 1 | -15.391 |
| 2 | -104.845 |